Record 1
Zr4IrRu: relaxed, PBE.

Computed properties:
**Excess energy over the best structure of this formula in the dataset**: 0.863 eV/atom

```
Zr4IrRu
1.0
0.000 3.891 3.891
3.891 0.000 3.891
3.891 3.891 0.000
Zr Ru Ir
4 1 1
Direct
0.375 0.375 0.375
0.375 0.375 0.875
0.375 0.875 0.375
0.875 0.375 0.375
0.000 0.000 0.000
0.750 0.750 0.750
```

Record 2
ZrTl2Pb: relaxed, PBE.

Computed properties:
**Excess energy over the best structure of this formula in the dataset**: 0.113 eV/atom

```
ZrTl2Pb
1.0
-1.905 -1.147 2.547
2.875 -1.691 -0.558
5.079 6.430 6.696
Tl Pb Zr
2 1 1
Direct
0.000 0.000 0.017
0.000 0.000 0.483
0.500 0.500 0.750
0.500 0.500 0.250
```

Record 3
Cs2Rh3O6: relaxed, PBE.

Computed properties:
**Formation energy (no corrections)**: -0.92 eV per atom

```
Cs2Rh3O6
1.0
-5.203 -0.069 -2.060
-1.635 -4.189 -3.331
-3.759 -3.396 4.553
O Rh Cs
6 3 2
Direct
0.713 0.000 0.856
0.619 0.332 0.142
0.952 0.668 0.142
0.048 0.332 0.858
0.287 0.000 0.144
0.381 0.668 0.858
0.000 0.000 0.000
0.334 0.332 0.000
0.666 0.668 0.000
0.833 0.333 0.500
0.167 0.667 0.500
```

Record 4
BaPtSe: relaxed, PBE.

Computed properties:
**Formation energy (no corrections)**: -1.07 eV per atom

```
BaPtSe
1.0
6.695 -0.001 0.007
-0.120 6.228 -0.005
6.701 -1.735 4.317
Pt Ba Se
2 2 2
Direct
0.325 0.822 0.762
0.768 0.680 0.691
0.130 0.396 0.049
0.373 0.931 0.317
0.185 0.505 0.603
0.852 0.967 0.335
```

Record 5
CsRbS2N: relaxed, PBE.

Computed properties:
**Excess energy over the best structure of this formula in the dataset**: 0.083 eV/atom
**Formation energy (no corrections)**: 0.93 eV per atom

```
CsRbS2N
1.0
-2.775 5.410 0.305
-4.855 -2.329 -2.841
-2.273 -1.452 5.075
S Rb Cs N
2 1 1 1
Direct
0.000 0.500 0.000
0.500 0.000 0.000
0.500 0.500 0.500
0.000 0.000 0.000
0.000 0.000 0.500
```

Record 6
LaPa5P6: relaxed, PBE.

Computed properties:
**Raw total energy**: -101.0 eV/f.u.

```
LaPa5P6
1.0
6.865 0.168 1.043
1.687 5.823 3.395
0.116 0.064 6.943
Pa P La
5 6 1
Direct
0.000 0.667 0.665
0.500 0.162 0.675
0.000 0.333 0.335
0.500 0.500 0.000
0.500 0.838 0.325
0.743 0.086 0.343
0.253 0.259 0.000
0.257 0.571 0.343
0.257 0.914 0.657
0.743 0.429 0.657
0.747 0.741 0.000
0.000 0.000 0.000
```

| no. | total magnetization (Bohr magnetons per cell) |
| --- | --- |
| 1 | 0.01 |
| 2 | 0.00 |
| 3 | 0.00 |
| 4 | 0.00 |
| 5 | 4.38 |
| 6 | 0.00 |